Record 1
Material: RbSr3Ac2Se6
Method: DFT, PBE
State: optimized geometry

Output
**Raw formation energy**: -2194.5 kJ/mol of formula units
**Space group**: C2/m (12)

Unit cell a=10.047 b=10.047 c=9.115 alpha=102.64 beta=102.64 gamma=25.84
Atoms (fractional coordinates):
Rb 0.000 0.000 0.000
Sr 0.000 0.000 0.500
Sr 0.338 0.338 0.165
Sr 0.662 0.662 0.835
Ac 0.335 0.335 0.669
Ac 0.665 0.665 0.331
Se 0.168 0.168 0.584
Se 0.175 0.175 0.092
Se 0.496 0.496 0.729
Se 0.504 0.504 0.271
Se 0.825 0.825 0.908
Se 0.832 0.832 0.416

***

Record 2
Material: Rb3C
Method: DFT, PBE
State: optimized geometry

Output
**E_form**: 1135 meV/atom
**Space group**: P-6m2 (187)
**Distance to the lowest polymorph of the same formula**: 55.3 meV per atom

Unit cell a=4.623 b=4.623 c=12.314 alpha=90.00 beta=90.00 gamma=120.00
Atoms (fractional coordinates):
Rb 0.000 0.000 0.000
Rb 0.667 0.333 0.356
Rb 0.667 0.333 0.644
C 0.000 0.000 0.500

***

Record 3
Material: CsMo2As
Method: DFT, PBE
State: optimized geometry

Output
**E_form**: 1099 meV/atom
**Space group**: I-42d (122)

Unit cell a=9.806 b=9.806 c=9.806 alpha=150.79 beta=150.79 gamma=41.78
Atoms (fractional coordinates):
Cs 0.000 0.000 0.000
Cs 0.750 0.250 0.500
Mo 0.345 0.125 0.720
Mo 0.375 0.655 0.780
Mo 0.405 0.625 0.280
Mo 0.875 0.595 0.220
As 0.250 0.750 0.500
As 0.500 0.500 0.000

***

Record 4
Material: Al2InWC
Method: DFT, PBE
State: optimized geometry

Output
**E_form**: 478 meV/atom
**Space group**: P4/mmm (123)

Unit cell a=4.263 b=4.263 c=4.164 alpha=90.00 beta=90.00 gamma=90.00
Atoms (fractional coordinates):
Al 0.000 0.500 0.000
Al 0.500 0.000 0.000
In 0.000 0.000 0.500
W 0.500 0.500 0.500
C 0.500 0.500 0.000